Model P:
Density functional theory data (PBE) for a relaxed TcRhAu2 crystal.

Cell: 9.2620 2.8017 5.0191 Å, 90.00 99.27 90.00°
Last column: nearest neighbours and their distance in Å.
Space group Cm (No. 8)
Unique sites:
Tc1 0.0000 0.0000 0.0000 [2 per cell]  3 Rh 2.66-2.76, 7 Au 2.79-2.96, 2 Tc 2.80
Rh1 0.2622 0.0000 0.8059 [2 per cell]  3 Tc 2.66-2.76, 5 Au 2.77-2.91, 2 Rh 2.80
Au1 0.0081 0.5000 0.5225 [2 per cell]  5 Au 2.74-2.86, 4 Tc 2.79-2.96, 3 Rh 2.87-2.91
Au2 0.2519 0.5000 0.2787 [2 per cell]  5 Au 2.74-2.86, 4 Rh 2.77-2.98, 3 Tc 2.88

DOS at the Fermi energy = 3.93 states/eV/f.u.
total magnetic moment = 0.000 μB/atom

---

Model Q:
Density functional theory data (PBE) for a relaxed TcRhAu2 crystal.

Cell: 2.7844 4.0875 5.6220 Å, 90.00 90.00 90.00°
Last column: nearest neighbours and their distance in Å.
Space group Pmmm (No. 47)
Unique sites:
Tc1 0.0000 0.0000 0.0000 [1 per cell]  2 Tc 2.78, 2 Rh 2.81, 8 Au 2.84
Rh1 0.0000 0.0000 0.5000 [1 per cell]  2 Rh 2.78, 2 Tc 2.81, 8 Au 2.85
Au1 0.5000 0.5000 0.2485 [2 per cell]  4 Au 2.78-2.83, 4 Tc 2.84, 4 Rh 2.85

DOS at the Fermi energy = 4.92 states/eV/f.u.
total magnetic moment = 0.000 μB/atom

---

Which of them is most stable, and which least? Most stable: model P; least stable: model Q.

---

Model P:
Density functional theory data (PBE) for a relaxed TcRhAu2 crystal.

Cell: 4.0086 4.0086 7.9612 Å, 90.00 90.00 90.00°
Last column: nearest neighbours and their distance in Å.
Space group I4/mmm (No. 139)
Unique sites:
Tc1 0.0000 0.0000 0.0000 [2 per cell]  8 Au 2.82, 4 Rh 2.83
Rh1 0.0000 0.0000 0.5000 [2 per cell]  8 Au 2.82, 4 Tc 2.83
Au1 0.0000 0.5000 0.2500 [4 per cell]  4 Tc 2.82, 4 Rh 2.82, 4 Au 2.83

DOS at the Fermi energy = 5.42 states/eV/f.u.
total magnetic moment = 0.007 μB/atom

---

Model Q:
Density functional theory data (PBE) for a relaxed TcRhAu2 crystal.

Cell: 2.8355 2.8355 27.7197 Å, 90.00 90.00 120.00°
Last column: nearest neighbours and their distance in Å.
Space group R-3m (No. 166, hexagonal axes)
Unique sites:
Tc1 0.0000 0.0000 0.0000 [3 per cell]  6 Au 2.82, 6 Tc 2.84
Rh1 0.0000 0.0000 0.5000 [3 per cell]  6 Rh 2.84, 6 Au 2.84
Au1 0.0000 0.0000 0.2505 [6 per cell]  3 Tc 2.82, 6 Au 2.84, 3 Rh 2.84

DOS at the Fermi energy = 6.95 states/eV/f.u.
total magnetic moment = 0.255 μB/atom

---

Which of them is most stable, and which least? Most stable: model Q; least stable: model P.